Record 1
A relaxed Nd2Si2Ag crystal, computed with PBE.

Cell lengths 4.413, 5.948, 9.589 Å; angles 88.01, 76.70, 68.22 degrees
Site moments in Bohr magnetons follow the coordinates.
Atoms (fractional coordinates):
Nd  0.681  0.315  0.322  0.07
Nd  0.913  0.276  0.898  0.17
Nd  0.319  0.685  0.678  0.07
Nd  0.087  0.724  0.102  0.17
Si  0.060  0.314  0.566  0.00
Si  0.624  0.860  0.892  -0.01
Si  0.940  0.686  0.434  0.00
Si  0.376  0.140  0.108  -0.01
Ag  0.634  0.092  0.639  0.01
Ag  0.366  0.908  0.361  0.01

Its total energy is -26.243 eV per formula unit. The calculation puts the uncorrected formation energy at -13.88 kcal/mol of atoms. The calculation puts the calculated volume at 22.710 Å³ per atom.

---

Record 2
A relaxed Zr2FeNi crystal, computed with PBE.

Cell lengths 4.172, 3.276, 5.119 Å; angles 71.54, 90.00, 90.00 degrees
Atoms (fractional coordinates):
Ni  0.500  0.545  0.788
Fe  0.000  0.708  0.456
Zr  0.000  0.983  0.912
Zr  0.500  0.264  0.345

Its total energy is -32.411 eV per formula unit. For the energy above the lowest structure with this stoichiometry, the calculation gives 0.0 meV/atom. The calculation puts the calculated volume at 16.595 Å³ per atom. The value obtained for the formation energy is -1.1 eV/f.u.

---

Record 3
A relaxed SrPd4Au2 crystal, computed with PBE.

Cell lengths 6.374, 6.374, 6.374 Å; angles 101.01, 101.01, 128.17 degrees
Site moments in Bohr magnetons follow the coordinates.
Atoms (fractional coordinates):
Sr  0.000  0.000  0.000  0.00
Pd  0.720  0.500  0.220  0.07
Pd  0.500  0.720  0.220  0.07
Pd  0.500  0.280  0.780  0.07
Pd  0.280  0.500  0.780  0.07
Au  0.250  0.750  0.500  0.01
Au  0.750  0.250  0.500  0.01

Its total energy is -27.883 eV per formula unit. For the energy above the lowest structure with this stoichiometry, the calculation gives 494.0 meV/atom. The calculation puts the calculated volume at 26.160 Å³ per atom. The value obtained for the formation energy is 1.1 eV/f.u.

---

Record 4
A relaxed RbRuBr5 crystal, computed with PBE.

Cell lengths 8.869, 8.869, 7.670 Å; angles 68.89, 68.89, 102.19 degrees
Site moments in Bohr magnetons follow the coordinates.
Atoms (fractional coordinates):
Rb  0.127  0.373  0.250  0.00
Rb  0.873  0.627  0.750  0.00
Ru  0.000  0.000  0.000  1.30
Ru  0.500  0.500  0.500  1.30
Br  0.158  0.000  0.213  0.08
Br  0.413  0.713  0.287  0.13
Br  0.500  0.658  0.713  0.08
Br  0.830  0.670  0.250  -0.01
Br  0.787  0.087  0.213  0.13
Br  0.213  0.913  0.787  0.13
Br  0.170  0.330  0.750  -0.01
Br  0.500  0.342  0.287  0.08
Br  0.587  0.287  0.713  0.13
Br  0.842  0.000  0.787  0.08

Its total energy is -23.056 eV per formula unit. The calculation puts the uncorrected formation energy at -14.65 kcal/mol of atoms. The calculation puts the calculated volume at 34.499 Å³ per atom.

---

Record 5
A relaxed Rb2VI2Br4 crystal, computed with PBE.

Cell lengths 7.802, 7.802, 7.802 Å; angles 89.47, 120.31, 120.31 degrees
Site moments in Bohr magnetons follow the coordinates.
Atoms (fractional coordinates):
Rb  0.500  0.750  0.250  0.00
Rb  0.500  0.250  0.750  0.00
V  0.000  0.000  0.000  1.14
I  0.000  0.750  0.750  -0.04
I  0.000  0.250  0.250  -0.04
Br  0.000  0.773  0.227  -0.03
Br  0.547  0.773  0.773  -0.03
Br  0.000  0.227  0.773  -0.03
Br  0.453  0.227  0.227  -0.03

Its total energy is -30.742 eV per formula unit. The calculation puts the uncorrected formation energy at -25.36 kcal/mol of atoms. The calculation puts the calculated volume at 37.140 Å³ per atom.

---

Record 6
A relaxed Sm5Si2Te crystal, computed with PBE.

Cell lengths 7.846, 7.846, 8.960 Å; angles 115.97, 115.97, 90.00 degrees
Site moments in Bohr magnetons follow the coordinates.
Atoms (fractional coordinates):
Sm  0.524  0.698  0.722  0.19
Sm  0.802  0.976  0.278  0.19
Sm  0.000  0.000  0.000  0.35
Sm  0.500  0.500  0.000  0.35
Sm  0.198  0.024  0.722  0.19
Sm  0.698  0.198  0.722  0.19
Sm  0.024  0.524  0.722  0.19
Sm  0.302  0.802  0.278  0.19
Sm  0.976  0.476  0.278  0.19
Sm  0.476  0.302  0.278  0.19
Si  0.133  0.367  0.000  -0.02
Si  0.633  0.133  0.000  -0.02
Si  0.367  0.867  0.000  -0.02
Si  0.867  0.633  0.000  -0.02
Te  0.750  0.750  0.500  -0.01
Te  0.250  0.250  0.500  -0.01

Its total energy is -43.579 eV per formula unit. The calculation puts the uncorrected formation energy at -17.28 kcal/mol of atoms. The calculation puts the calculated volume at 27.068 Å³ per atom.

---

Record 7
A relaxed CsRb2ZnSn crystal, computed with PBE.

Cell lengths 6.973, 6.973, 5.247 Å; angles 90.00, 90.00, 90.00 degrees
Atoms (fractional coordinates):
Cs  0.500  0.500  0.500
Zn  0.000  0.000  0.000
Sn  0.000  0.000  0.500
Rb  0.000  0.500  0.000
Rb  0.500  0.000  0.000

Its total energy is -7.925 eV per formula unit. For the energy above the lowest structure with this stoichiometry, the calculation gives 0.0 meV/atom. The calculation puts the calculated volume at 51.016 Å³ per atom. The value obtained for the formation energy is 0.1 eV/f.u.

---

Record 8
A relaxed Hf7Sn2C2 crystal, computed with PBE.

Cell lengths 7.368, 6.143, 6.143 Å; angles 111.60, 95.14, 95.14 degrees
Atoms (fractional coordinates):
Hf  0.180  0.916  0.498
Hf  0.820  0.502  0.084
Hf  0.820  0.084  0.502
Hf  0.180  0.498  0.916
Hf  0.000  0.000  0.000
Hf  0.816  0.594  0.594
Hf  0.184  0.406  0.406
Sn  0.500  0.300  0.700
Sn  0.500  0.700  0.300
C  0.881  0.288  0.288
C  0.119  0.712  0.712

Its total energy is -96.134 eV per formula unit. The calculation puts the calculated volume at 23.200 Å³ per atom. The value obtained for the formation energy is 0.0 eV/f.u.

---

Magnetic moment values, unit μB/cell, following the record order: 1.236 0.000 0.279 4.016 0.991 4.504 0.450 0.000.